Record 1
Here is TmZnHgPd after structural relaxation from Alexandria. Energies are from PBE-GGA.

Cell: 4.7942 4.7942 4.7942 Å, 60.00 60.00 60.00°
Fractional positions:
1 Hg 0.7500 0.7500 0.7500
2 Tm 0.5000 0.5000 0.5000
3 Zn 0.0000 0.0000 0.0000
4 Pd 0.2500 0.2500 0.2500

Final energy (eV per atom): -3.2887
Total magnetization (μB per formula unit): 0.000

Record 2
Here is TmZrHgPd after structural relaxation from Alexandria. Energies are from PBE-GGA.

Cell: 4.9559 4.9559 4.9559 Å, 60.00 60.00 60.00°
Fractional positions:
1 Hg 0.5000 0.5000 0.5000
2 Zr 0.7500 0.7500 0.7500
3 Pd 0.0000 0.0000 0.0000
4 Tm 0.2500 0.2500 0.2500

Final energy (eV per atom): -5.0642
Total magnetization (μB per formula unit): 0.015

Record 3
Here is UHg2Pd5 after structural relaxation from Alexandria. Energies are from PBE-GGA.

Cell: 4.1979 4.1979 8.6877 Å, 104.00 104.00 89.89°
Fractional positions:
1 Pd 0.8814 0.3816 0.7627
2 Pd 0.1186 0.6184 0.2373
3 Pd 0.5000 0.5000 0.0000
4 Pd 0.6184 0.1186 0.2373
5 Pd 0.3816 0.8814 0.7627
6 Hg 0.2549 0.2549 0.5095
7 Hg 0.7451 0.7451 0.4905
8 U 0.0000 0.0000 0.0000

Final energy (eV per atom): -5.0752
Total magnetization (μB per formula unit): 1.351

total magnetization of number 2 (TmZrHgPd)? 0.015 μB per formula unit

Which of these has the highest total magnetization? UHg2Pd5

Look up the total magnetization of the third one. 1.351 μB per formula unit